# 1
This record from the Alexandria database describes Fe2Os2Rh after structural relaxation. The functional is GGA-PBE.

abc: 3.521 3.521 6.266
angles: 73.68 73.68 90.00
Positions (direct):
Rh 0.000 0.000 0.000
Os 0.606 0.606 0.789
Os 0.394 0.394 0.211
Fe 0.750 0.250 0.500
Fe 0.250 0.750 0.500

Computed properties:
symmetry	I4/mmm (139)
energy relative to the lowest polymorph listed for this composition	1.93	eV/f.u.
E_form	0.60	eV/atom

=====

# 2
This record from the Alexandria database describes Te4Pb5O after structural relaxation. The functional is GGA-PBE.

abc: 6.584 7.738 7.738
angles: 79.57 64.82 64.82
Positions (direct):
Te 0.436 0.388 0.776
Te 0.211 0.224 0.388
Te 0.824 0.776 0.612
Te 0.599 0.612 0.224
Pb 0.906 0.351 0.828
Pb 0.256 0.828 0.649
Pb 0.084 0.649 0.172
Pb 0.734 0.172 0.351
Pb 0.404 0.000 0.000
O 0.056 0.000 0.000

Computed properties:
symmetry	I4 (79)
ΔE_f (raw)	-447	meV per atom

=====

# 3
This record from the Alexandria database describes YIn4W after structural relaxation. The functional is GGA-PBE.

abc: 5.774 5.774 5.774
angles: 60.00 60.00 60.00
Positions (direct):
W 0.750 0.750 0.750
In 0.375 0.375 0.874
In 0.375 0.375 0.375
In 0.375 0.874 0.375
In 0.874 0.375 0.375
Y 0.000 0.000 0.000

Computed properties:
symmetry	F-43m (216)
E_form	0.44	eV/atom

=====

no.,V (Å³/atom),calculated density (g/cm³)
1,14.3,13.87
2,32.3,8.03
3,22.7,8.93